1.
Density functional theory data (meta-GGA SCAN) for MgTc2P at its PBEsol-relaxed geometry.

extended XYZ file:
```
4
Lattice="-4.071 0.194 1.059 -2.742 -2.727 -1.667 -1.697 -3.014 2.402" Properties=species:S:1:pos:R:3 pbc="T T T"
Mg 0.000 0.000 0.000
P -4.255 -2.773 0.897
Tc -6.382 -4.160 1.346
Tc -2.127 -1.387 0.449
```

- offset from the most stable computed form (meV per atom) = 248.2
- ΔH_f (0 K) (kJ/mol of formula units) = 38
- energy (eV/f.u.) = -85.10
- Fermi-level density of states (states/eV/f.u.) = 3.53


2.
Density functional theory data (meta-GGA SCAN) for Zr2ScPb at its PBEsol-relaxed geometry.

extended XYZ file:
```
4
Lattice="-1.570 1.248 -2.561 1.238 -0.336 -2.989 -5.202 -8.420 -2.978" Properties=species:S:1:pos:R:3 pbc="T T T"
Pb 0.000 0.000 0.000
Sc -2.767 -3.754 -4.264
Zr -1.384 -1.877 -2.132
Zr -4.150 -5.631 -6.396
```

- ΔH_f (0 K) (kJ/mol of formula units) = -21
- energy (eV/f.u.) = -151.63
- Fermi-level density of states (states/eV/f.u.) = 5.17


Please write out number 1 again, unchanged.
Density functional theory data (meta-GGA SCAN) for MgTc2P at its PBEsol-relaxed geometry.

extended XYZ file:
```
4
Lattice="-4.071 0.194 1.059 -2.742 -2.727 -1.667 -1.697 -3.014 2.402" Properties=species:S:1:pos:R:3 pbc="T T T"
Mg 0.000 0.000 0.000
P -4.255 -2.773 0.897
Tc -6.382 -4.160 1.346
Tc -2.127 -1.387 0.449
```

- offset from the most stable computed form (meV per atom) = 248.2
- ΔH_f (0 K) (kJ/mol of formula units) = 38
- energy (eV/f.u.) = -85.10
- Fermi-level density of states (states/eV/f.u.) = 3.53


> Among the records above, which one has the highest ΔH_f (0 K)?

MgTc2P


> Look up the ΔH_f (0 K) of the first one.

38 kJ/mol of formula units